Record 1
Compound: CrTe2Br2
Source: Alexandria via LeMat-Bulk
Functional: PBEsol
Structure: optimized geometry

a = 5.1555 Å, b = 5.5414 Å, c = 5.5414 Å
α = 90.00°, β = 90.00°, γ = 90.00°
Last column: magnetic moment on the atom in μB.
Fractional coordinates of all 5 atoms:
Te (0.0000, 0.0000, 0.5000)  -0.19
Br (0.0000, 0.0000, 0.0000)  -0.04
Br (0.5000, 0.0000, 0.0000)  0.01
Cr (0.5000, 0.5000, 0.5000)  4.16
Te (0.0000, 0.5000, 0.0000)  -0.19

Calculated values
energy relative to the elements, uncorrected = 4.77 eV per formula unit
DOS at the Fermi energy = 5.2 states/eV/cell



Record 2
Compound: LiHoS2
Source: Alexandria via LeMat-Bulk
Functional: PBEsol
Structure: optimized geometry

a = 3.8421 Å, b = 3.8421 Å, c = 6.4531 Å
α = 72.68°, β = 72.68°, γ = 60.00°
Fractional coordinates of all 4 atoms:
Ho (0.0000, 0.0000, 0.0000)
S (0.2494, 0.2494, 0.2519)
S (0.7506, 0.7506, 0.7481)
Li (0.5000, 0.5000, 0.5000)

Calculated values
energy relative to the elements, uncorrected = -7.58 eV per formula unit
DOS at the Fermi energy = 0.0 states/eV/cell



Record 3
Compound: La3ZrTe
Source: Alexandria via LeMat-Bulk
Functional: PBEsol
Structure: optimized geometry

a = 5.8578 Å, b = 5.8578 Å, c = 5.8578 Å
α = 90.00°, β = 90.00°, γ = 90.00°
Last column: magnetic moment on the atom in μB.
Fractional coordinates of all 5 atoms:
Te (0.0000, 0.0000, 0.0000)  0.00
La (0.5000, 0.0000, 0.0000)  0.03
Zr (0.5000, 0.5000, 0.5000)  0.76
La (0.0000, 0.0000, 0.5000)  0.03
La (0.0000, 0.5000, 0.0000)  0.03

Calculated values
energy relative to the elements, uncorrected = 1.26 eV per formula unit
DOS at the Fermi energy = 10.2 states/eV/cell



Record 4
Compound: BaZnGa2Bi
Source: Alexandria via LeMat-Bulk
Functional: PBEsol
Structure: optimized geometry

a = 5.4709 Å, b = 5.4709 Å, c = 6.6492 Å
α = 90.00°, β = 90.00°, γ = 90.00°
Fractional coordinates of all 5 atoms:
Zn (0.5000, 0.5000, 0.5000)
Ga (0.0000, 0.5000, 0.0000)
Ga (0.5000, 0.0000, 0.0000)
Ba (0.0000, 0.0000, 0.5000)
Bi (0.0000, 0.0000, 0.0000)

Calculated values
DFT formation energy = 0.47 eV per atom
DOS at the Fermi energy = 4.9 states/eV/cell



Record 5
Compound: YScNF2
Source: Alexandria via LeMat-Bulk
Functional: PBEsol
Structure: optimized geometry

a = 3.9746 Å, b = 3.9746 Å, c = 4.3328 Å
α = 90.00°, β = 90.00°, γ = 90.00°
Last column: magnetic moment on the atom in μB.
Fractional coordinates of all 5 atoms:
F (0.5000, 0.0000, 0.0000)  0.00
Y (0.5000, 0.5000, 0.5000)  0.06
N (0.0000, 0.0000, 0.5000)  0.00
F (0.0000, 0.5000, 0.0000)  0.00
Sc (0.0000, 0.0000, 0.0000)  0.01

Calculated values
energy relative to the elements, uncorrected = -11.51 eV per formula unit
DOS at the Fermi energy = 2.5 states/eV/cell



Record 6
Compound: Na2GaBi2
Source: Alexandria via LeMat-Bulk
Functional: PBEsol
Structure: optimized geometry

a = 4.8166 Å, b = 4.8166 Å, c = 7.5983 Å
α = 108.48°, β = 108.48°, γ = 90.00°
Fractional coordinates of all 5 atoms:
Na (0.2500, 0.7500, 0.5000)
Bi (0.3970, 0.3970, 0.7939)
Bi (0.6030, 0.6030, 0.2061)
Na (0.7500, 0.2500, 0.5000)
Ga (0.0000, 0.0000, 0.0000)

Calculated values
DFT formation energy = 0.09 eV per atom
DOS at the Fermi energy = 1.2 states/eV/cell